(1)
Ca5Pb: optimized geometry, PBE.

Structure (POSCAR):
```
Ca5Pb
1.0
3.875 0.000 0.000
0.000 3.875 0.000
0.000 0.000 15.218
Ca Pb
5 1
direct
0.000 0.000 0.000
0.000 0.000 0.370
0.000 0.000 0.630
0.500 0.500 0.182
0.500 0.500 0.818
0.500 0.500 0.500
```

* crystal system: tetragonal
* SG: P4/mmm (123)
* total moment: 0.00 μB/atom
* ΔE_f: -193 meV per atom


(2)
LaSi2Pt5Au: optimized geometry, PBE.

Structure (POSCAR):
```
LaSi2Pt5Au
1.0
4.091 0.000 0.000
0.000 4.091 0.000
0.000 0.000 10.858
La Si Pt Au
1 2 5 1
direct
0.000 0.000 0.000
0.500 0.500 0.218
0.500 0.500 0.782
0.000 0.500 0.324
0.000 0.500 0.676
0.500 0.000 0.324
0.500 0.000 0.676
0.500 0.500 0.000
0.000 0.000 0.500
```

* crystal system: tetragonal
* SG: P4/mmm (123)
* formation energy from raw total energies: -0.62 eV/atom
* total moment: 0.00 μB/atom


(3)
TbCe2Ru: optimized geometry, PBE.

Structure (POSCAR):
```
TbCe2Ru
1.0
14.132 0.000 0.000
0.000 9.620 0.000
0.000 0.000 6.084
Tb Ce Ru
8 16 8
direct
0.102 0.250 0.238
0.145 0.750 0.955
0.355 0.250 0.455
0.398 0.750 0.738
0.602 0.250 0.262
0.645 0.750 0.545
0.855 0.250 0.045
0.898 0.750 0.762
0.037 0.058 0.748
0.037 0.442 0.748
0.212 0.563 0.439
0.212 0.937 0.439
0.288 0.063 0.939
0.288 0.437 0.939
0.463 0.558 0.248
0.463 0.942 0.248
0.537 0.058 0.752
0.537 0.442 0.752
0.712 0.563 0.061
0.712 0.937 0.061
0.788 0.063 0.561
0.788 0.437 0.561
0.963 0.558 0.252
0.963 0.942 0.252
0.075 0.750 0.475
0.173 0.250 0.726
0.327 0.750 0.226
0.425 0.250 0.975
0.575 0.750 0.025
0.673 0.250 0.774
0.827 0.750 0.274
0.925 0.250 0.525
```

* crystal system: orthorhombic
* SG: Pnma (62)
* total moment: 0.00 μB/atom
* ΔE_f: -228 meV per atom


(4)
Tb3Sm2Mg3: optimized geometry, PBE.

Structure (POSCAR):
```
Tb3Sm2Mg3
1.0
-1.906 2.727 11.250
1.906 -2.727 11.250
1.906 2.727 -11.250
Tb Sm Mg
3 2 3
direct
0.000 0.000 0.000
0.377 0.877 0.500
0.623 0.123 0.500
0.235 0.235 0.000
0.765 0.765 0.000
0.115 0.615 0.500
0.500 0.500 0.000
0.885 0.385 0.500
```

* crystal system: orthorhombic
* SG: Immm (71)
* total moment: 0.00 μB/atom
* ΔE_f: -56 meV per atom